1.
Below is an optimized crystal structure of TmScRhPb, with properties calculated at the PBE level.

Results
space group	F-43m
theoretical density	9.98	g/cm3
distance to the lowest polymorph of the same formula	0.164	eV per atom

POSCAR file:
```
TmScRhPb
1.0
0.0000 3.5196 3.5196
3.5196 0.0000 3.5196
3.5196 3.5196 0.0000
Tm Sc Rh Pb
1 1 1 1
direct
0.0000 0.0000 0.0000 Tm
0.5000 0.5000 0.5000 Sc
0.7500 0.7500 0.7500 Rh
0.2500 0.2500 0.2500 Pb
```



2.
Below is an optimized crystal structure of TmScRhPb, with properties calculated at the PBE level.

Results
space group	P4mm
theoretical density	9.82	g/cm3
distance to the lowest polymorph of the same formula	0.000	eV per atom

POSCAR file:
```
TmScRhPb
1.0
3.3853 0.0000 0.0000
0.0000 3.3853 0.0000
0.0000 0.0000 7.7303
Tm Sc Rh Pb
1 1 1 1
direct
0.0000 0.0000 0.0000 Tm
0.0000 0.0000 0.5885 Sc
0.5000 0.5000 0.7790 Rh
0.5000 0.5000 0.3088 Pb
```



3.
Below is an optimized crystal structure of RhPb2Se2, with properties calculated at the PBE level.

Results
space group	P4/mbm
theoretical density	9.19	g/cm3
distance to the lowest polymorph of the same formula	0.170	eV per atom

POSCAR file:
```
RhPb2Se2
1.0
7.0081 0.0000 0.0000
0.0000 7.0081 0.0000
0.0000 0.0000 4.9656
Rh Pb Se
2 4 4
direct
0.0000 0.0000 0.0000 Rh
0.5000 0.5000 0.0000 Rh
0.1678 0.3322 0.5000 Pb
0.3322 0.8322 0.5000 Pb
0.6678 0.1678 0.5000 Pb
0.8322 0.6678 0.5000 Pb
0.1733 0.6733 0.0000 Se
0.3267 0.1733 0.0000 Se
0.6733 0.8267 0.0000 Se
0.8267 0.3267 0.0000 Se
```



4.
Below is an optimized crystal structure of Rh2PbSe, with properties calculated at the PBE level.

Results
space group	F-43m
theoretical density	11.10	g/cm3
E	-5.08	eV/atom

POSCAR file:
```
Rh2PbSe
1.0
0.0000 3.3263 3.3263
3.3263 0.0000 3.3263
3.3263 3.3263 0.0000
Rh Pb Se
2 1 1
direct
0.0000 0.0000 0.0000 Rh
0.2500 0.2500 0.2500 Rh
0.5000 0.5000 0.5000 Pb
0.7500 0.7500 0.7500 Se
```



5.
Below is an optimized crystal structure of Rh3PbSe, with properties calculated at the PBE level.

Results
space group	Pm-3m
theoretical density	7.98	g/cm3
distance to the lowest polymorph of the same formula	1.144	eV per atom

POSCAR file:
```
Rh3PbSe
1.0
4.9847 0.0000 0.0000
0.0000 4.9847 0.0000
0.0000 0.0000 4.9847
Rh Pb Se
3 1 1
direct
0.0000 0.0000 0.5000 Rh
0.0000 0.5000 0.0000 Rh
0.5000 0.0000 0.0000 Rh
0.0000 0.0000 0.0000 Pb
0.5000 0.5000 0.5000 Se
```



6.
Below is an optimized crystal structure of Rh2PbSe, with properties calculated at the PBE level.

Results
space group	Immm
theoretical density	10.99	g/cm3
E	-5.30	eV/atom

POSCAR file:
```
Rh2PbSe
1.0
-1.6008 2.6952 4.3089
1.6008 -2.6952 4.3089
1.6008 2.6952 -4.3089
Rh Pb Se
2 1 1
direct
0.2282 0.2282 0.0000 Rh
0.7718 0.7718 0.0000 Rh
0.5000 0.0000 0.5000 Pb
0.0000 0.5000 0.5000 Se
```



7.
Below is an optimized crystal structure of Rh2PbSe, with properties calculated at the PBE level.

Results
space group	P4/mmm
theoretical density	11.41	g/cm3
E	-5.42	eV/atom

POSCAR file:
```
Rh2PbSe
1.0
3.2215 0.0000 0.0000
0.0000 3.2215 0.0000
0.0000 0.0000 6.9002
Rh Pb Se
2 1 1
direct
0.0000 0.0000 0.2053 Rh
0.0000 0.0000 0.7947 Rh
0.5000 0.5000 0.5000 Pb
0.5000 0.5000 0.0000 Se
```



8.
Below is an optimized crystal structure of Rh3PbSe, with properties calculated at the PBE level.

Results
space group	Pm-3m
theoretical density	9.80	g/cm3
distance to the lowest polymorph of the same formula	0.000	eV per atom

POSCAR file:
```
Rh3PbSe
1.0
4.6542 0.0000 0.0000
0.0000 4.6542 0.0000
0.0000 0.0000 4.6542
Rh Pb Se
3 1 1
direct
0.0000 0.0000 0.5000 Rh
0.0000 0.5000 0.0000 Rh
0.5000 0.0000 0.0000 Rh
0.5000 0.5000 0.5000 Pb
0.0000 0.0000 0.0000 Se
```